<one>
Cs3HgBr3 | GGA-PBE | optimized geometry

Cell and atoms, written as POSCAR:
```
Cs3HgBr3
1.0
9.9852 0.0000 0.0000
0.0000 9.9852 0.0000
0.0000 0.0000 9.9852
Br Cs Hg
6 6 2
Direct
0.5000 0.2500 0.0000
0.0000 0.5000 0.7500
0.0000 0.5000 0.2500
0.2500 0.0000 0.5000
0.5000 0.7500 0.0000
0.7500 0.0000 0.5000
0.5000 0.0000 0.2500
0.0000 0.7500 0.5000
0.5000 0.0000 0.7500
0.7500 0.5000 0.0000
0.0000 0.2500 0.5000
0.2500 0.5000 0.0000
0.5000 0.5000 0.5000
0.0000 0.0000 0.0000
```

## Properties
- space group = Pm-3n, No. 223
- M_tot (μB/cell) = 0.50

=====

<two>
Cs3HgBr3 | GGA-PBE | optimized geometry

Cell and atoms, written as POSCAR:
```
Cs3HgBr3
1.0
8.9325 -0.1533 3.6967
2.4143 8.6014 3.6967
-0.2059 -0.1533 9.6650
Br Cs Hg
6 6 2
Direct
0.4177 0.7490 0.0828
0.9172 0.5823 0.2510
0.7490 0.0828 0.4177
0.5823 0.2510 0.9172
0.0828 0.4177 0.7490
0.2510 0.9172 0.5823
0.9155 0.2468 0.5851
0.5851 0.9155 0.2468
0.7532 0.4149 0.0845
0.0845 0.7532 0.4149
0.4149 0.0845 0.7532
0.2468 0.5851 0.9155
0.6660 0.6660 0.6660
0.3340 0.3340 0.3340
```

## Properties
- space group = R-3, No. 148
- M_tot (μB/cell) = 0.00

=====

Most stable of them? <two>.

=====

<one>
CsHgBr2 | GGA-PBE | optimized geometry

Cell and atoms, written as POSCAR:
```
CsHgBr2
1.0
7.0016 0.0000 0.0000
0.0000 7.0016 0.0000
3.5008 3.5008 8.3630
Br Cs Hg
4 2 2
Direct
0.8750 0.9636 0.7500
0.7136 0.1250 0.2500
0.0364 0.6250 0.2500
0.3750 0.2864 0.7500
0.5000 0.5000 0.0000
0.2500 0.7500 0.5000
0.0000 0.0000 0.0000
0.7500 0.2500 0.5000
```

## Properties
- space group = I-42d, No. 122
- M_tot (μB/cell) = 0.00

=====

<two>
CsHgBr2 | GGA-PBE | optimized geometry

Cell and atoms, written as POSCAR:
```
CsHgBr2
1.0
0.2916 2.5495 -6.7721
3.7285 -6.4467 0.6722
-6.7936 -2.6549 1.6466
Br Cs Hg
4 2 2
Direct
0.9338 0.8745 0.4811
0.9338 0.4811 0.8745
0.2970 0.4464 0.4464
0.5233 0.0316 0.0316
0.4822 0.0039 0.5035
0.4822 0.5035 0.0039
0.0029 0.8632 0.8632
0.9807 0.1268 0.1268
```

## Properties
- space group = Cm, No. 8
- M_tot (μB/cell) = 0.00

=====

<three>
CsHgBr2 | GGA-PBE | optimized geometry

Cell and atoms, written as POSCAR:
```
CsHgBr2
1.0
0.0000 4.1602 4.1602
4.1602 0.0000 4.1602
4.1602 4.1602 0.0000
Br Cs Hg
2 1 1
Direct
0.2500 0.2500 0.2500
0.7500 0.7500 0.7500
0.0000 0.0000 0.0000
0.5000 0.5000 0.5000
```

## Properties
- space group = Fm-3m, No. 225
- M_tot (μB/cell) = 0.00

=====

Most stable of them? <two>.

=====

<one>
CsHg2Br | GGA-PBE | optimized geometry

Cell and atoms, written as POSCAR:
```
CsHg2Br
1.0
-5.4588 1.9010 2.1254
-4.4471 1.6144 -3.9429
-4.9747 -3.5701 -0.6608
Br Hg Cs
1 2 1
Direct
0.0000 0.0000 0.0000
0.2500 0.2500 0.2500
0.7500 0.7500 0.7500
0.5000 0.5000 0.5000
```

## Properties
- space group = Fm-3m, No. 225
- M_tot (μB/cell) = 0.00

=====

<two>
CsHg2Br | GGA-PBE | optimized geometry

Cell and atoms, written as POSCAR:
```
CsHg2Br
1.0
-0.8322 2.9511 3.9958
3.0025 -2.9510 2.7933
4.1957 3.7890 -4.9772
Cs Hg Br
1 2 1
Direct
0.3924 0.5212 0.9834
0.6444 0.2690 0.4825
0.1390 0.7732 0.4846
0.8937 0.0225 0.9861
```

## Properties
- space group = P1, No. 1
- M_tot (μB/cell) = 0.00

=====

<three>
CsHg2Br | GGA-PBE | optimized geometry

Cell and atoms, written as POSCAR:
```
CsHg2Br
1.0
7.1753 0.0000 0.0000
0.0000 15.2691 0.0000
0.0000 0.0000 6.0837
Hg Br Cs
8 4 4
Direct
0.2351 0.5488 0.2500
0.7649 0.5488 0.2500
0.2351 0.4512 0.7500
0.7351 0.0488 0.2500
0.2649 0.9512 0.7500
0.7351 0.9512 0.7500
0.7649 0.4512 0.7500
0.2649 0.0488 0.2500
0.5000 0.8192 0.2500
0.0000 0.6808 0.7500
0.0000 0.3192 0.2500
0.5000 0.1808 0.7500
0.5000 0.3066 0.2500
0.5000 0.6934 0.7500
0.0000 0.8066 0.2500
0.0000 0.1934 0.7500
```

## Properties
- space group = Cmcm, No. 63
- M_tot (μB/cell) = 0.00

=====

Most stable of them? <three>.

=====

<one>
CsHg2Br | GGA-PBE | optimized geometry

Cell and atoms, written as POSCAR:
```
CsHg2Br
1.0
5.8129 -0.0025 -0.0004
-1.9524 7.1983 -0.0029
-0.0573 -1.5137 8.4302
Br Hg Cs
2 4 2
Direct
0.0385 0.9144 0.8449
0.6727 0.3277 0.4264
0.2387 0.4419 0.1763
0.9747 0.7687 0.3553
0.7623 0.5012 0.9917
0.5100 0.8406 0.5420
0.1717 0.3209 0.6574
0.5573 0.9794 0.0849
```

## Properties
- space group = P1, No. 1
- M_tot (μB/cell) = 0.00

=====

<two>
CsHg2Br | GGA-PBE | optimized geometry

Cell and atoms, written as POSCAR:
```
CsHg2Br
1.0
7.8926 0.0000 -0.0004
0.0000 6.6830 0.0000
-0.0039 0.0000 6.6830
Br Hg Cs
2 4 2
Direct
0.8913 0.0000 0.4111
0.8913 0.5000 0.9111
0.5506 0.5000 0.4134
0.5506 0.0000 0.9134
0.4490 0.0000 0.4131
0.4490 0.5000 0.9131
0.0459 0.5000 0.4113
0.0459 0.0000 0.9113
```

## Properties
- space group = Cm, No. 8
- M_tot (μB/cell) = 0.00

=====

<three>
CsHg2Br | GGA-PBE | optimized geometry

Cell and atoms, written as POSCAR:
```
CsHg2Br
1.0
10.3054 0.0000 0.0000
0.0000 10.3054 0.0000
5.1527 5.1527 3.4609
Br Hg Cs
2 4 2
Direct
0.5000 0.5000 0.0000
0.2500 0.7500 0.5000
0.8750 0.8446 0.7500
0.3750 0.4054 0.7500
0.1554 0.6250 0.2500
0.5946 0.1250 0.2500
0.7500 0.2500 0.5000
0.0000 0.0000 0.0000
```

## Properties
- space group = I-42d, No. 122
- M_tot (μB/cell) = 0.00

=====

<four>
CsHg2Br | GGA-PBE | optimized geometry

Cell and atoms, written as POSCAR:
```
CsHg2Br
1.0
6.7459 0.0000 0.0000
0.0000 5.0388 0.0000
0.0000 0.0000 5.0388
Hg Br Cs
2 1 1
Direct
0.0000 0.0000 0.5000
0.0000 0.5000 0.0000
0.5000 0.5000 0.5000
0.5000 0.0000 0.0000
```

## Properties
- space group = P4/mmm, No. 123
- M_tot (μB/cell) = 0.00

=====

Most stable of them? <four>.